Density functional theory data (PBE) for a relaxed Mn3AlTc crystal.

## Properties
Polymorph energy (0 for the lowest one) (kJ/mol of formula units): 154.8
Total energy (eV per atom): -6.819

Unit cell a=4.1265 b=4.1265 c=4.1265 alpha=90.00 beta=90.00 gamma=90.00
With the nearest neighbours (Å) after each atom.
Space group Pm-3m (No. 221)
One atom of each set of equivalent atoms:
1 Mn 0.0000 0.0000 0.5000 [3 per cell]  2 Al 2.06
2 Al 0.0000 0.0000 0.0000 [1 per cell]  6 Mn 2.06
3 Tc 0.5000 0.5000 0.5000 [1 per cell]  12 Mn 2.92

---

Density functional theory data (PBE) for a relaxed Mn2AlTc crystal.

## Properties
Total energy (eV per atom): -8.066

Unit cell a=3.1718 b=4.1872 c=7.8764 alpha=90.00 beta=90.00 gamma=90.00
With the nearest neighbours (Å) after each atom.
Space group Cmm2 (No. 35)
One atom of each set of equivalent atoms:
1 Mn 0.0000 0.0000 0.0000 [2 per cell]  6 Mn 2.41-2.63, 2 Tc 2.53
2 Mn 0.0000 0.5000 0.2308 [2 per cell]  6 Mn 2.41-2.63, 2 Al 2.52
3 Al 0.0000 0.0000 0.4787 [2 per cell]  2 Mn 2.52, 4 Al 2.63, 2 Tc 2.66
4 Tc 0.0000 0.5000 0.7495 [2 per cell]  2 Mn 2.53, 4 Tc 2.63, 2 Al 2.66

---

In the order shown, the computed volume values come out to 14.1 13.1 A^3/atom.
In the order shown, the computed DFT formation energy values come out to 1.504 0.046 eV per atom.